# Dy4TmAu2 | Alexandria | PBE | optimized geometry
# DFT total energy, eV/atom: -4.4634
# SG: No. 166
# Magnetization, μB/cell: 0.000
data_Dy4TmAu2
_chemical_formula_sum 'Dy4 Tm1 Au2'
_space_group_name_H-M_alt 'P 1'
_space_group_IT_number 1
_space_group_name_Hall 'P 1'
_cell_length_a 4.975
_cell_length_b 4.975
_cell_length_c 10.204
_cell_angle_alpha 75.89
_cell_angle_beta 75.89
_cell_angle_gamma 60.00
loop_
_atom_site_label
_atom_site_type_symbol
_atom_site_fract_x
_atom_site_fract_y
_atom_site_fract_z
_atom_site_occupancy
Dy1 Dy 0.703 0.703 0.892 1
Dy2 Dy 0.896 0.896 0.312 1
Dy3 Dy 0.297 0.297 0.108 1
Dy4 Dy 0.104 0.104 0.688 1
Tm1 Tm 0.500 0.500 0.500 1
Au1 Au 0.601 0.601 0.198 1
Au2 Au 0.399 0.399 0.802 1